1.
# PBE TaBr2Cl, optimized geometry
data_TaBr2Cl
_space_group_name_H-M_alt 'P 1'
_space_group_IT_number 1
_space_group_name_Hall 'P 1'
_cell_length_a 3.3639
_cell_length_b 6.7984
_cell_length_c 6.8803
_cell_angle_alpha 58.67
_cell_angle_beta 90.00
_cell_angle_gamma 90.00
loop_
_atom_site_label
_atom_site_fract_x
_atom_site_fract_y
_atom_site_fract_z
Br1 0.5000 0.2069 0.2852
Br2 0.0000 0.8628 0.9215
Ta1 0.5000 0.8439 0.6502
Cl1 0.0000 0.5864 0.6432
# Energy relative to the elements, uncorrected in eV/atom: -0.66
# Uncorrected energy in eV/atom: -4.917
# Crystal system: monoclinic
# Space-group type: No. 6

2.
# PBE TaBr3Cl2, optimized geometry
data_TaBr3Cl2
_space_group_name_H-M_alt 'P 1'
_space_group_IT_number 1
_space_group_name_Hall 'P 1'
_cell_length_a 7.4596
_cell_length_b 7.6061
_cell_length_c 11.0137
_cell_angle_alpha 72.17
_cell_angle_beta 90.00
_cell_angle_gamma 60.65
loop_
_atom_site_label
_atom_site_fract_x
_atom_site_fract_y
_atom_site_fract_z
Ta1 0.1801 0.0000 0.2500
Ta2 0.8199 0.0000 0.7500
Br1 0.6596 0.3218 0.8177
Br2 0.8531 0.0000 0.2500
Br3 0.0186 0.3218 0.3177
Br4 0.3404 0.6782 0.1823
Br5 0.9814 0.6782 0.6823
Br6 0.1469 0.0000 0.7500
Cl1 0.4289 0.8098 0.4334
Cl2 0.5711 0.1902 0.5666
Cl3 0.7612 0.8098 0.9334
Cl4 0.2388 0.1902 0.0666
# Energy relative to the elements, uncorrected in eV/atom: -1.07
# Uncorrected energy in eV/atom: -4.500
# Crystal system: monoclinic
# Space-group type: No. 15

3.
# PBE TaBrCl, optimized geometry
data_TaBrCl
_space_group_name_H-M_alt 'P 1'
_space_group_IT_number 1
_space_group_name_Hall 'P 1'
_cell_length_a 3.2365
_cell_length_b 3.2365
_cell_length_c 7.7592
_cell_angle_alpha 90.00
_cell_angle_beta 90.00
_cell_angle_gamma 120.00
loop_
_atom_site_label
_atom_site_fract_x
_atom_site_fract_y
_atom_site_fract_z
Br1 0.0000 0.0000 0.9082
Ta1 0.3333 0.6667 0.6600
Cl1 0.6667 0.3333 0.4317
# Energy relative to the elements, uncorrected in eV/atom: -0.58
# Uncorrected energy in eV/atom: -5.705
# Crystal system: trigonal
# Space-group type: No. 156

4.
# PBE TaBr2Cl, optimized geometry
data_TaBr2Cl
_space_group_name_H-M_alt 'P 1'
_space_group_IT_number 1
_space_group_name_Hall 'P 1'
_cell_length_a 9.5992
_cell_length_b 9.5992
_cell_length_c 7.2076
_cell_angle_alpha 48.25
_cell_angle_beta 48.25
_cell_angle_gamma 90.00
loop_
_atom_site_label
_atom_site_fract_x
_atom_site_fract_y
_atom_site_fract_z
Br1 0.3750 0.2276 0.7500
Br2 0.8750 0.0224 0.7500
Br3 0.9776 0.6250 0.2500
Br4 0.7724 0.1250 0.2500
Ta1 0.0000 0.0000 0.0000
Ta2 0.7500 0.2500 0.5000
Cl1 0.5000 0.5000 0.0000
Cl2 0.2500 0.7500 0.5000
# Energy relative to the elements, uncorrected in eV/atom: -0.48
# Uncorrected energy in eV/atom: -4.744
# Crystal system: tetragonal
# Space-group type: No. 122

Copy entry 1 word for word.
# PBE TaBr2Cl, optimized geometry
data_TaBr2Cl
_space_group_name_H-M_alt 'P 1'
_space_group_IT_number 1
_space_group_name_Hall 'P 1'
_cell_length_a 3.3639
_cell_length_b 6.7984
_cell_length_c 6.8803
_cell_angle_alpha 58.67
_cell_angle_beta 90.00
_cell_angle_gamma 90.00
loop_
_atom_site_label
_atom_site_fract_x
_atom_site_fract_y
_atom_site_fract_z
Br1 0.5000 0.2069 0.2852
Br2 0.0000 0.8628 0.9215
Ta1 0.5000 0.8439 0.6502
Cl1 0.0000 0.5864 0.6432
# Energy relative to the elements, uncorrected in eV/atom: -0.66
# Uncorrected energy in eV/atom: -4.917
# Crystal system: monoclinic
# Space-group type: No. 6

> Which of these has the lowest energy relative to the elements, uncorrected?

TaBr3Cl2

> Which of these has the highest energy relative to the elements, uncorrected?

number 4